(1)
Material: La2Si4PdPt3
Method: DFT, GGA-PBE
State: relaxed

Summary:
For the spin magnetization, the calculation gives 0.000 μB/atom. Its formation energy from raw total energies is -1.1030 eV/atom. The total energy comes out at -65.89 eV/f.u. The value obtained for the density of states at the Fermi level is 6.1 states/eV per cell.

a b c (Å): 4.317 4.317 9.905
angles (deg): 90.00 90.00 90.00
Element x y z (fractional)
La: 0.500 0.000 0.245
La: 0.000 0.500 0.755
Si: 0.500 0.500 0.000
Si: 0.000 0.000 0.000
Si: 0.500 0.000 0.630
Si: 0.000 0.500 0.370
Pd: 0.500 0.500 0.500
Pt: 0.000 0.000 0.500
Pt: 0.500 0.000 0.880
Pt: 0.000 0.500 0.120

---

(2)
Material: La2SiPdPt6
Method: DFT, GGA-PBE
State: relaxed

Summary:
For the spin magnetization, the calculation gives 0.000 μB/atom. Its formation energy from raw total energies is -0.8665 eV/atom. The total energy comes out at -65.38 eV/f.u. The value obtained for the density of states at the Fermi level is 4.2 states/eV per cell.

a b c (Å): 5.445 8.568 6.486
angles (deg): 52.80 65.18 89.99
Element x y z (fractional)
La: 0.769 0.304 0.462
La: 0.231 0.696 0.538
Si: 0.000 0.000 0.000
Pd: 0.500 0.500 0.000
Pt: 0.248 0.098 0.503
Pt: 0.741 0.765 0.011
Pt: 0.249 0.766 0.010
Pt: 0.751 0.234 0.990
Pt: 0.259 0.235 0.989
Pt: 0.752 0.902 0.497

---

(3)
Material: LaSi2Pd2Pt
Method: DFT, GGA-PBE
State: relaxed

Summary:
For the spin magnetization, the calculation gives 0.000 μB/atom. Its formation energy from raw total energies is -0.4948 eV/atom. The total energy comes out at -35.17 eV/f.u. The value obtained for the density of states at the Fermi level is 4.5 states/eV per cell.

a b c (Å): 4.625 4.625 5.705
angles (deg): 90.00 90.00 90.00
Element x y z (fractional)
La: 0.000 0.000 0.500
Si: 0.500 0.000 0.000
Si: 0.000 0.500 0.000
Pd: 0.500 0.500 0.751
Pd: 0.500 0.500 0.249
Pt: 0.000 0.000 0.000

---

(4)
Material: LaSi2PdPt2
Method: DFT, GGA-PBE
State: relaxed

Summary:
For the spin magnetization, the calculation gives 0.000 μB/atom. Its formation energy from raw total energies is -0.9760 eV/atom. The total energy comes out at -38.90 eV/f.u. The value obtained for the density of states at the Fermi level is 1.3 states/eV per cell.

a b c (Å): 4.241 4.241 7.035
angles (deg): 90.00 90.00 120.00
Element x y z (fractional)
La: 0.000 0.000 0.000
Si: 0.667 0.333 0.674
Si: 0.333 0.667 0.326
Pd: 0.000 0.000 0.500
Pt: 0.667 0.333 0.297
Pt: 0.333 0.667 0.703

---

(5)
Material: La2SiPd6Pt
Method: DFT, GGA-PBE
State: relaxed

Summary:
For the spin magnetization, the calculation gives 0.000 μB/atom. Its formation energy from raw total energies is -0.6945 eV/atom. The total energy comes out at -59.42 eV/f.u. The value obtained for the density of states at the Fermi level is 9.9 states/eV per cell.

a b c (Å): 6.467 6.467 11.754
angles (deg): 74.03 74.03 60.00
Element x y z (fractional)
La: 0.888 0.888 0.336
La: 0.112 0.112 0.664
La: 0.717 0.717 0.849
La: 0.283 0.283 0.151
Si: 0.000 0.000 0.000
Si: 0.500 0.500 0.500
Pd: 0.925 0.331 0.414
Pd: 0.331 0.925 0.414
Pd: 0.331 0.331 0.414
Pd: 0.075 0.669 0.586
Pd: 0.669 0.075 0.586
Pd: 0.669 0.669 0.586
Pd: 0.653 0.219 0.909
Pd: 0.219 0.653 0.909
Pd: 0.219 0.219 0.909
Pd: 0.347 0.781 0.091
Pd: 0.781 0.347 0.091
Pd: 0.781 0.781 0.091
Pt: 0.573 0.573 0.281
Pt: 0.427 0.427 0.719

---

(6)
Material: La2SiPd2Pt4
Method: DFT, GGA-PBE
State: relaxed

Summary:
For the spin magnetization, the calculation gives 0.000 μB/atom. Its formation energy from raw total energies is -0.9662 eV/atom. The total energy comes out at -58.52 eV/f.u. The value obtained for the density of states at the Fermi level is 4.1 states/eV per cell.

a b c (Å): 6.247 6.247 6.247
angles (deg): 90.51 119.70 119.70
Element x y z (fractional)
La: 0.500 0.750 0.250
La: 0.500 0.250 0.750
Si: 0.000 0.000 0.000
Pd: 0.000 0.725 0.725
Pd: 0.000 0.275 0.275
Pt: 0.000 0.732 0.268
Pt: 0.463 0.732 0.732
Pt: 0.000 0.268 0.732
Pt: 0.537 0.268 0.268

---

(7)
Material: La2SiPd4Pt2
Method: DFT, GGA-PBE
State: relaxed

Summary:
For the spin magnetization, the calculation gives 0.000 μB/atom. Its formation energy from raw total energies is -0.9245 eV/atom. The total energy comes out at -56.45 eV/f.u. The value obtained for the density of states at the Fermi level is 4.5 states/eV per cell.

a b c (Å): 6.258 6.258 6.258
angles (deg): 89.70 120.17 120.17
Element x y z (fractional)
La: 0.500 0.750 0.250
La: 0.500 0.250 0.750
Si: 0.000 0.000 0.000
Pd: 0.000 0.727 0.273
Pd: 0.454 0.727 0.727
Pd: 0.000 0.273 0.727
Pd: 0.546 0.273 0.273
Pt: 0.000 0.734 0.734
Pt: 0.000 0.266 0.266

---

(8)
Material: La3Si2PdPt9
Method: DFT, GGA-PBE
State: relaxed

Summary:
For the spin magnetization, the calculation gives 0.000 μB/atom. Its formation energy from raw total energies is -0.8314 eV/atom. The total energy comes out at -97.66 eV/f.u. The value obtained for the density of states at the Fermi level is 5.8 states/eV per cell.

a b c (Å): 5.725 5.725 11.123
angles (deg): 90.00 90.00 120.00
Element x y z (fractional)
La: 0.333 0.667 0.590
La: 0.000 0.000 0.000
La: 0.667 0.333 0.410
Si: 0.333 0.667 0.160
Si: 0.667 0.333 0.840
Pd: 0.000 0.000 0.500
Pt: 0.838 0.162 0.694
Pt: 0.838 0.677 0.694
Pt: 0.323 0.162 0.694
Pt: 0.677 0.838 0.306
Pt: 0.162 0.323 0.306
Pt: 0.162 0.838 0.306
Pt: 0.500 0.000 0.000
Pt: 0.000 0.500 0.000
Pt: 0.500 0.500 0.000

---

(9)
Material: LaSmPdPt
Method: DFT, GGA-PBE
State: relaxed

Summary:
For the spin magnetization, the calculation gives 0.000 μB/atom. The formation enthalpy at 0 K comes out at -0.927 eV/atom. The total energy comes out at -24.59 eV/f.u. As for the energy above the most stable polymorph in this dataset: 0.095 eV/atom. The value obtained for the density of states at the Fermi level is 4.1 states/eV per cell.

a b c (Å): 5.125 5.125 5.125
angles (deg): 60.00 60.00 60.00
Element x y z (fractional)
Pd: 0.250 0.250 0.250
Sm: 0.000 0.000 0.000
Pt: 0.750 0.750 0.750
La: 0.500 0.500 0.500

---

(10)
Material: LaSmPdPt
Method: DFT, GGA-PBE
State: relaxed

Summary:
For the spin magnetization, the calculation gives 0.000 μB/atom. The formation enthalpy at 0 K comes out at -1.022 eV/atom. The total energy comes out at -24.97 eV/f.u. As for the energy above the most stable polymorph in this dataset: 0.000 eV/atom. The value obtained for the density of states at the Fermi level is 2.6 states/eV per cell.

a b c (Å): 3.914 4.611 5.797
angles (deg): 90.00 109.73 90.00
Element x y z (fractional)
La: 0.137 0.000 0.274
Sm: 0.865 0.500 0.730
Pd: 0.587 0.500 0.174
Pt: 0.411 0.000 0.822

---

(11)
Material: La2Sn3Pd4Pt
Method: DFT, GGA-PBE
State: relaxed

Summary:
For the spin magnetization, the calculation gives 0.000 μB/atom. The formation enthalpy at 0 K comes out at -0.778 eV/atom. The total energy comes out at -56.46 eV/f.u. The value obtained for the density of states at the Fermi level is 6.3 states/eV per cell.

a b c (Å): 4.265 4.265 12.155
angles (deg): 90.00 90.00 90.00
Element x y z (fractional)
La: 0.500 0.000 0.272
La: 0.000 0.500 0.728
Sn: 0.000 0.000 0.500
Sn: 0.500 0.000 0.868
Sn: 0.000 0.500 0.132
Pd: 0.500 0.500 0.000
Pd: 0.000 0.000 0.000
Pd: 0.500 0.000 0.652
Pd: 0.000 0.500 0.348
Pt: 0.500 0.500 0.500

---

(12)
Material: LaSn2PdPt4
Method: DFT, GGA-PBE
State: relaxed

Summary:
For the spin magnetization, the calculation gives 0.000 μB/atom. The formation enthalpy at 0 K comes out at -0.628 eV/atom. The total energy comes out at -47.31 eV/f.u. The value obtained for the density of states at the Fermi level is 3.8 states/eV per cell.

a b c (Å): 4.496 4.496 9.475
angles (deg): 76.27 76.27 60.00
Element x y z (fractional)
La: 0.000 0.000 0.000
Sn: 0.764 0.764 0.708
Sn: 0.236 0.236 0.292
Pd: 0.500 0.500 0.500
Pt: 0.399 0.399 0.803
Pt: 0.870 0.870 0.390
Pt: 0.130 0.130 0.610
Pt: 0.601 0.601 0.197

---

Question: What is the spin magnetization in the twelfth record?
Answer: 0.000 μB/atom